Record 1
A relaxed BeGaAsBr2 crystal. Source: the Alexandria database, functional PBE.

E_form (uncorrected) = 4.4 kJ per mole of atoms
Total magnetic moment = 0.00 Bohr magnetons per cell
Calculated total energy = -14.5 eV/cell

Unit cell a=5.1785 b=5.1785 c=4.3944 alpha=90.00 beta=90.00 gamma=90.00
Positions (direct):
Be 0.0000 0.0000 0.0000
Ga 0.5000 0.5000 0.5000
As 0.0000 0.0000 0.5000
Br 0.0000 0.5000 0.0000
Br 0.5000 0.0000 0.0000

***

Record 2
A relaxed Tm8Pd3 crystal. Source: the Alexandria database, functional PBE.

Total magnetic moment = 0.00 Bohr magnetons per cell
DFT formation energy = -0.388 eV/atom
Calculated total energy = -55.6 eV/cell

Unit cell a=6.7055 b=6.7055 c=6.7055 alpha=86.88 beta=86.88 gamma=86.88
Positions (direct):
Tm 0.1496 0.1496 0.1496
Tm 0.1789 0.6365 0.3364
Tm 0.3364 0.1789 0.6364
Tm 0.3636 0.6636 0.8211
Tm 0.6364 0.3364 0.1789
Tm 0.6636 0.8211 0.3636
Tm 0.8211 0.3636 0.6636
Tm 0.8504 0.8504 0.8504
Pd 0.0000 0.0000 0.5000
Pd 0.0000 0.5000 0.0000
Pd 0.5000 0.0000 0.0000

***

Record 3
A relaxed SrCd2Ru crystal. Source: the Alexandria database, functional PBE.

Total magnetic moment = 0.00 Bohr magnetons per cell
DFT formation energy = 0.253 eV/atom
Calculated total energy = -11.8 eV/cell

Unit cell a=5.0436 b=5.0436 c=5.0436 alpha=60.00 beta=60.00 gamma=60.00
Positions (direct):
Sr 0.0000 0.0000 0.0000
Cd 0.2500 0.2500 0.2500
Cd 0.7500 0.7500 0.7500
Ru 0.5000 0.5000 0.5000

***

Please write out number 3 again, unchanged.
A relaxed SrCd2Ru crystal. Source: the Alexandria database, functional PBE.

Total magnetic moment = 0.00 Bohr magnetons per cell
DFT formation energy = 0.253 eV/atom
Calculated total energy = -11.8 eV/cell

Unit cell a=5.0436 b=5.0436 c=5.0436 alpha=60.00 beta=60.00 gamma=60.00
Positions (direct):
Sr 0.0000 0.0000 0.0000
Cd 0.2500 0.2500 0.2500
Cd 0.7500 0.7500 0.7500
Ru 0.5000 0.5000 0.5000

***

- Which value of total magnetic moment does entry 3 give?
  0.00 Bohr magnetons per cell